TlZnAg: optimized geometry, PBE.

Cell: 4.566 3.234 12.551 Å, 74.46 79.52 45.09°
Element x y z (fractional)
1 Tl 0.241 0.395 0.123
2 Tl 0.759 0.605 0.877
3 Zn 0.751 0.936 0.562
4 Zn 0.249 0.064 0.438
5 Ag 0.744 0.197 0.314
6 Ag 0.256 0.803 0.686

Values from the calculation:
**Total energy**: -2.109 eV/atom
**Relative energy among the computed polymorphs**: 0.000 kcal/mol of atoms
**Calculated density**: 9919 kg/m³
**Space-group type**: No. 12

***

TlZn2Ag: optimized geometry, PBE.

Cell: 3.259 3.259 7.485 Å, 90.00 90.00 90.00°
Element x y z (fractional)
1 Zn 0.500 0.500 0.246
2 Zn 0.000 0.000 0.055
3 Ag 0.000 0.000 0.447
4 Tl 0.500 0.500 0.752

Values from the calculation:
**Total energy**: -1.818 eV/atom
**Relative energy among the computed polymorphs**: 0.000 kcal/mol of atoms
**Calculated density**: 9256 kg/m³
**Space-group type**: No. 99

***

TlZn2Ag: optimized geometry, PBE.

Cell: 5.235 5.235 5.235 Å, 131.97 131.97 70.28°
Element x y z (fractional)
1 Zn 0.250 0.750 0.500
2 Zn 0.000 0.000 0.000
3 Ag 0.500 0.500 0.000
4 Tl 0.750 0.250 0.500

Values from the calculation:
**Total energy**: -1.766 eV/atom
**Relative energy among the computed polymorphs**: 1.211 kcal/mol of atoms
**Calculated density**: 9464 kg/m³
**Space-group type**: No. 119

***

Tl2ZnAg: optimized geometry, PBE.

Cell: 4.885 4.885 6.293 Å, 79.00 79.00 40.64°
Element x y z (fractional)
1 Tl 0.500 0.500 0.500
2 Tl 0.000 0.000 0.000
3 Ag 0.250 0.250 0.250
4 Zn 0.750 0.750 0.750

Values from the calculation:
**Total energy**: -2.040 eV/atom
**Relative energy among the computed polymorphs**: 2.106 kcal/mol of atoms
**Calculated density**: 10091 kg/m³
**Space-group type**: No. 12

***

TlZn2Ag: optimized geometry, PBE.

Cell: 4.907 3.243 5.110 Å, 96.06 90.00 90.00°
Element x y z (fractional)
1 Tl 0.500 0.750 0.750
2 Zn 0.000 0.979 0.028
3 Zn 0.000 0.521 0.472
4 Ag 0.500 0.250 0.250

Values from the calculation:
**Total energy**: -1.772 eV/atom
**Relative energy among the computed polymorphs**: 1.066 kcal/mol of atoms
**Calculated density**: 9097 kg/m³
**Space-group type**: No. 10

***

TlZn2Ag2: optimized geometry, PBE.

Cell: 8.044 8.044 2.975 Å, 90.00 90.00 90.00°
Element x y z (fractional)
1 Tl 0.500 0.500 0.000
2 Tl 0.000 0.000 0.000
3 Ag 0.372 0.872 0.000
4 Ag 0.872 0.628 0.000
5 Ag 0.628 0.128 0.000
6 Ag 0.128 0.372 0.000
7 Zn 0.168 0.668 0.500
8 Zn 0.332 0.168 0.500
9 Zn 0.668 0.832 0.500
10 Zn 0.832 0.332 0.500

Values from the calculation:
**Total energy**: -2.054 eV/atom
**Relative energy among the computed polymorphs**: 0.154 kcal/mol of atoms
**Calculated density**: 9504 kg/m³
**Space-group type**: No. 127

***

TlZn2Ag: optimized geometry, PBE.

Cell: 4.847 4.847 5.567 Å, 79.44 79.44 39.35°
Element x y z (fractional)
1 Zn 0.989 0.989 0.056
2 Zn 0.511 0.511 0.444
3 Ag 0.250 0.250 0.250
4 Tl 0.750 0.750 0.750

Values from the calculation:
**Total energy**: -1.810 eV/atom
**Relative energy among the computed polymorphs**: 0.199 kcal/mol of atoms
**Calculated density**: 9045 kg/m³
**Space-group type**: No. 12

***

TlZnAg: optimized geometry, PBE.

Cell: 4.659 4.659 3.468 Å, 90.00 90.00 120.00°
Element x y z (fractional)
1 Zn 0.667 0.333 0.828
2 Ag 0.000 0.000 0.838
3 Tl 0.333 0.667 0.334

Values from the calculation:
**Total energy**: -2.002 eV/atom
**Relative energy among the computed polymorphs**: 2.474 kcal/mol of atoms
**Calculated density**: 9616 kg/m³
**Space-group type**: No. 156

***

TlZn2Ag: optimized geometry, PBE.

Cell: 5.170 5.170 5.170 Å, 130.74 130.74 72.23°
Element x y z (fractional)
1 Ag 0.250 0.750 0.500
2 Zn 0.500 0.500 0.000
3 Zn 0.000 0.000 0.000
4 Tl 0.750 0.250 0.500

Values from the calculation:
**Total energy**: -1.765 eV/atom
**Relative energy among the computed polymorphs**: 1.215 kcal/mol of atoms
**Calculated density**: 9484 kg/m³
**Space-group type**: No. 139

***

TlZnAg3: optimized geometry, PBE.

Cell: 5.345 5.345 5.345 Å, 90.00 90.00 90.00°
Element x y z (fractional)
1 Tl 0.000 0.000 0.000
2 Zn 0.500 0.500 0.500
3 Ag 0.000 0.500 0.000
4 Ag 0.500 0.000 0.000
5 Ag 0.000 0.000 0.500

Values from the calculation:
**Total energy**: -1.653 eV/atom
**Relative energy among the computed polymorphs**: 10.144 kcal/mol of atoms
**Calculated density**: 6451 kg/m³
**Space-group type**: No. 221

***

TlZn2Ag: optimized geometry, PBE.

Cell: 9.148 9.148 9.148 Å, 20.08 20.08 20.08°
Element x y z (fractional)
1 Ag 0.510 0.510 0.510
2 Tl 0.749 0.749 0.749
3 Zn 0.251 0.251 0.251
4 Zn 0.991 0.991 0.991

Values from the calculation:
**Total energy**: -1.768 eV/atom
**Relative energy among the computed polymorphs**: 1.152 kcal/mol of atoms
**Calculated density**: 9316 kg/m³
**Space-group type**: No. 160

***

Tl2ZnAg: optimized geometry, PBE.

Cell: 4.890 4.891 3.957 Å, 90.00 90.00 90.00°
Element x y z (fractional)
1 Zn 0.500 0.000 0.500
2 Ag 0.000 0.500 0.500
3 Tl 0.500 0.500 0.000
4 Tl 0.000 0.000 0.000

Values from the calculation:
**Total energy**: -2.051 eV/atom
**Relative energy among the computed polymorphs**: 1.869 kcal/mol of atoms
**Calculated density**: 10214 kg/m³
**Space-group type**: No. 123

***

Tl2ZnAg: optimized geometry, PBE.

Cell: 8.049 8.049 6.484 Å, 51.64 51.64 90.00°
Element x y z (fractional)
1 Tl 0.375 0.383 0.750
2 Tl 0.617 0.125 0.250
3 Tl 0.133 0.625 0.250
4 Tl 0.875 0.867 0.750
5 Ag 0.750 0.250 0.500
6 Ag 0.000 0.000 0.000
7 Zn 0.250 0.750 0.500
8 Zn 0.500 0.500 0.000

Values from the calculation:
**Total energy**: -1.979 eV/atom
**Relative energy among the computed polymorphs**: 3.528 kcal/mol of atoms
**Calculated density**: 9604 kg/m³
**Space-group type**: No. 122

***

TlZn2Ag: optimized geometry, PBE.

Cell: 4.315 4.315 9.809 Å, 77.29 77.29 90.00°
Element x y z (fractional)
1 Tl 0.000 0.000 0.000
2 Tl 0.750 0.250 0.500
3 Zn 0.188 0.625 0.250
4 Zn 0.375 0.438 0.750
5 Zn 0.562 0.125 0.250
6 Zn 0.875 0.812 0.750
7 Ag 0.500 0.500 0.000
8 Ag 0.250 0.750 0.500

Values from the calculation:
**Total energy**: -1.748 eV/atom
**Relative energy among the computed polymorphs**: 1.622 kcal/mol of atoms
**Calculated density**: 8477 kg/m³
**Space-group type**: No. 122

***

Tl4ZnAg: optimized geometry, PBE.

Cell: 6.352 6.352 6.352 Å, 60.00 60.00 60.00°
Element x y z (fractional)
1 Tl 0.375 0.876 0.375
2 Tl 0.375 0.375 0.375
3 Tl 0.876 0.375 0.375
4 Tl 0.375 0.375 0.876
5 Ag 0.000 0.000 0.000
6 Zn 0.750 0.750 0.750

Values from the calculation:
**Total energy**: -1.895 eV/atom
**Calculated density**: 9079 kg/m³
**Space-group type**: No. 216

***

TlZn2Ag2: optimized geometry, PBE.

Cell: 4.075 4.075 6.803 Å, 72.57 72.57 90.00°
Element x y z (fractional)
1 Tl 0.000 0.000 0.000
2 Ag 0.750 0.250 0.500
3 Ag 0.250 0.750 0.500
4 Zn 0.603 0.603 0.794
5 Zn 0.397 0.397 0.206

Values from the calculation:
**Total energy**: -2.023 eV/atom
**Relative energy among the computed polymorphs**: 0.880 kcal/mol of atoms
**Calculated density**: 8939 kg/m³
**Space-group type**: No. 139

***

TlZn2Ag: optimized geometry, PBE.

Cell: 5.704 5.704 5.704 Å, 148.01 122.99 66.88°
Element x y z (fractional)
1 Zn 0.981 0.981 0.000
2 Zn 0.519 0.519 0.000
3 Ag 0.750 0.250 0.500
4 Tl 0.250 0.750 0.500

Values from the calculation:
**Total energy**: -1.757 eV/atom
**Relative energy among the computed polymorphs**: 1.410 kcal/mol of atoms
**Calculated density**: 9032 kg/m³
**Space-group type**: No. 71

***

TlZn2Ag: optimized geometry, PBE.

Cell: 4.724 4.724 5.934 Å, 77.69 77.69 39.01°
Element x y z (fractional)
1 Zn 0.989 0.989 0.063
2 Zn 0.253 0.253 0.236
3 Tl 0.746 0.746 0.753
4 Ag 0.512 0.512 0.448

Values from the calculation:
**Total energy**: -1.805 eV/atom
**Relative energy among the computed polymorphs**: 0.310 kcal/mol of atoms
**Calculated density**: 9064 kg/m³
**Space-group type**: No. 8

***

Tl2ZnAg: optimized geometry, PBE.

Cell: 3.298 3.468 8.318 Å, 90.00 90.00 90.00°
Element x y z (fractional)
1 Tl 0.500 0.500 0.289
2 Tl 0.000 0.000 0.962
3 Ag 0.500 0.500 0.702
4 Zn 0.000 0.000 0.548

Values from the calculation:
**Total energy**: -2.132 eV/atom
**Relative energy among the computed polymorphs**: 0.000 kcal/mol of atoms
**Calculated density**: 10158 kg/m³
**Space-group type**: No. 25

***

Tl2ZnAg: optimized geometry, PBE.

Cell: 5.132 5.132 5.132 Å, 60.00 60.00 60.00°
Element x y z (fractional)
1 Ag 0.500 0.500 0.500
2 Tl 0.250 0.250 0.250
3 Tl 0.000 0.000 0.000
4 Zn 0.750 0.750 0.750

Values from the calculation:
**Total energy**: -2.004 eV/atom
**Relative energy among the computed polymorphs**: 2.935 kcal/mol of atoms
**Calculated density**: 10112 kg/m³
**Space-group type**: No. 216

***

Tl2ZnAg: optimized geometry, PBE.

Cell: 9.583 9.583 9.583 Å, 20.67 20.67 20.67°
Element x y z (fractional)
1 Ag 0.760 0.760 0.760
2 Tl 0.240 0.240 0.240
3 Tl 0.009 0.009 0.009
4 Zn 0.491 0.491 0.491

Values from the calculation:
**Total energy**: -2.091 eV/atom
**Relative energy among the computed polymorphs**: 0.936 kcal/mol of atoms
**Calculated density**: 10068 kg/m³
**Space-group type**: No. 160

***

TlZn2Ag: optimized geometry, PBE.

Cell: 4.277 3.214 6.314 Å, 68.45 90.00 90.00°
Element x y z (fractional)
1 Ag 0.000 0.423 0.410
2 Zn 0.500 0.008 0.290
3 Zn 0.000 0.195 0.019
4 Tl 0.500 0.874 0.782

Values from the calculation:
**Total energy**: -1.803 eV/atom
**Relative energy among the computed polymorphs**: 0.345 kcal/mol of atoms
**Calculated density**: 9113 kg/m³
**Space-group type**: No. 6

***

Tl2ZnAg: optimized geometry, PBE.

Cell: 6.319 6.319 6.319 Å, 149.89 130.56 58.98°
Element x y z (fractional)
1 Zn 0.526 0.526 0.000
2 Ag 0.722 0.222 0.500
3 Tl 0.981 0.981 0.000
4 Tl 0.271 0.771 0.500

Values from the calculation:
**Total energy**: -2.081 eV/atom
**Relative energy among the computed polymorphs**: 1.171 kcal/mol of atoms
**Calculated density**: 10129 kg/m³
**Space-group type**: No. 44

***

Tl2ZnAg: optimized geometry, PBE.

Cell: 5.768 5.768 5.768 Å, 134.78 134.78 65.88°
Element x y z (fractional)
1 Tl 0.000 0.000 0.000
2 Tl 0.250 0.750 0.500
3 Zn 0.500 0.500 0.000
4 Ag 0.750 0.250 0.500

Values from the calculation:
**Total energy**: -2.032 eV/atom
**Relative energy among the computed polymorphs**: 2.296 kcal/mol of atoms
**Calculated density**: 10150 kg/m³
**Space-group type**: No. 119

***

TlZn2Ag2: optimized geometry, PBE.

Cell: 8.009 8.009 2.991 Å, 90.00 90.00 90.00°
Element x y z (fractional)
1 Zn 0.882 0.618 0.000
2 Zn 0.382 0.882 0.000
3 Zn 0.118 0.382 0.000
4 Zn 0.618 0.118 0.000
5 Ag 0.824 0.324 0.500
6 Ag 0.176 0.676 0.500
7 Ag 0.324 0.176 0.500
8 Ag 0.676 0.824 0.500
9 Tl 0.000 0.000 0.000
10 Tl 0.500 0.500 0.000

Values from the calculation:
**Total energy**: -2.061 eV/atom
**Relative energy among the computed polymorphs**: 0.000 kcal/mol of atoms
**Calculated density**: 9537 kg/m³
**Space-group type**: No. 127

***

TlZn3Ag: optimized geometry, PBE.

Cell: 4.969 4.969 4.969 Å, 90.00 90.00 90.00°
Element x y z (fractional)
1 Zn 0.000 0.000 0.500
2 Zn 0.000 0.500 0.000
3 Zn 0.500 0.000 0.000
4 Tl 0.500 0.500 0.500
5 Ag 0.000 0.000 0.000

Values from the calculation:
**Total energy**: -1.530 eV/atom
**Relative energy among the computed polymorphs**: 0.000 kcal/mol of atoms
**Calculated density**: 6882 kg/m³
**Space-group type**: No. 221

***

TlZn2Ag2: optimized geometry, PBE.

Cell: 3.816 3.816 7.377 Å, 75.01 75.01 90.00°
Element x y z (fractional)
1 Ag 0.392 0.392 0.216
2 Ag 0.608 0.608 0.784
3 Zn 0.750 0.250 0.500
4 Zn 0.250 0.750 0.500
5 Tl 0.000 0.000 0.000

Values from the calculation:
**Total energy**: -2.036 eV/atom
**Relative energy among the computed polymorphs**: 0.569 kcal/mol of atoms
**Calculated density**: 9149 kg/m³
**Space-group type**: No. 139

***

TlZn2Ag: optimized geometry, PBE.

Cell: 4.834 4.834 4.834 Å, 60.00 60.00 60.00°
Element x y z (fractional)
1 Tl 0.500 0.500 0.500
2 Ag 0.000 0.000 0.000
3 Zn 0.250 0.250 0.250
4 Zn 0.750 0.750 0.750

Values from the calculation:
**Total energy**: -1.738 eV/atom
**Relative energy among the computed polymorphs**: 1.839 kcal/mol of atoms
**Calculated density**: 9210 kg/m³
**Space-group type**: No. 225

***

TlZn4Ag: optimized geometry, PBE.

Cell: 5.336 5.336 5.336 Å, 60.00 60.00 60.00°
Element x y z (fractional)
1 Tl 0.000 0.000 0.000
2 Zn 0.376 0.376 0.376
3 Zn 0.872 0.376 0.376
4 Zn 0.376 0.872 0.376
5 Zn 0.376 0.376 0.872
6 Ag 0.750 0.750 0.750

Values from the calculation:
**Total energy**: -1.629 eV/atom
**Calculated density**: 8873 kg/m³
**Space-group type**: No. 216

***

Let's list DFT formation energy in order: 54.9; 123.2; 175.7; 174.2; 169.4; 68.9; 131.8; 162.1; 175.9; 786.2; 173.2; 163.9; 235.9; 193.5; 369.9; 100.3; 184.3; 136.7; 82.9; 210.1; 123.5; 138.1; 133.6; 182.4; 62.2; 278.1; 86.9; 202.9; 90.0 meV/atom.